DFT (PBE) results for a geometry-optimized SN structure.

crystal system: orthorhombic
total magnetization: 0.000 μB/f.u.
V: 22.088 Å³/atom
ΔE_f (raw): 0.559 eV per atom
E: -0.208 Ha/atom

Cell lengths 6.450, 6.647, 8.243 Å; angles 90.00, 90.00, 90.00 degrees
Positions (direct):
S: 0.219 0.089 0.442
S: 0.236 0.512 0.105
S: 0.264 0.488 0.605
S: 0.281 0.911 0.942
S: 0.719 0.411 0.558
S: 0.736 0.988 0.895
S: 0.764 0.012 0.395
S: 0.781 0.589 0.058
N: 0.005 0.979 0.392
N: 0.154 0.297 0.533
N: 0.346 0.703 0.033
N: 0.495 0.021 0.892
N: 0.505 0.521 0.608
N: 0.654 0.203 0.467
N: 0.846 0.797 0.967
N: 0.995 0.479 0.108

***

DFT (PBE) results for a geometry-optimized Ac4PPt2Se structure.

crystal system: monoclinic
total magnetization: 0.000 μB/f.u.
V: 31.157 Å³/atom
ΔE_f (raw): -1.365 eV per atom
E: -0.222 Ha/atom

Cell lengths 7.547, 4.355, 7.979 Å; angles 90.00, 108.12, 90.00 degrees
Positions (direct):
Ac: 0.239 0.000 0.237
Ac: 0.245 0.500 0.758
Ac: 0.755 0.500 0.242
Ac: 0.761 0.000 0.763
P: 0.000 0.000 0.500
Pt: 0.000 0.500 0.000
Pt: 0.500 0.000 0.000
Se: 0.500 0.500 0.500

***

DFT (PBE) results for a geometry-optimized Hf5Re3 structure.

crystal system: tetragonal
total magnetization: 0.001 μB/f.u.
energy of formation from the pure elements: -23.3 kJ per mole of atoms
V: 18.848 Å³/atom
E: -0.409 Ha/atom

Cell lengths 3.321, 3.321, 13.670 Å; angles 90.00, 90.00, 90.00 degrees
Positions (direct):
Hf: 0.000 0.000 0.000
Hf: 0.000 0.000 0.231
Hf: 0.000 0.000 0.769
Hf: 0.500 0.500 0.386
Hf: 0.500 0.500 0.614
Re: 0.000 0.000 0.500
Re: 0.500 0.500 0.123
Re: 0.500 0.500 0.877

***

DFT (PBE) results for a geometry-optimized Ti2PdRh structure.

crystal system: orthorhombic
total magnetization: 0.000 μB/f.u.
energy of formation from the pure elements: -49.9 kJ per mole of atoms
V: 15.896 Å³/atom
E: -0.279 Ha/atom

Cell lengths 3.018, 7.426, 7.426 Å; angles 22.46, 90.00, 90.00 degrees
Positions (direct):
Ti: 0.000 0.000 0.000
Ti: 0.000 0.253 0.253
Pd: 0.500 0.623 0.623
Rh: 0.500 0.393 0.393